A) CdGe2Se, optimized geometry, DFT PBE; SG = No. 225
1.0
-0.948 -3.476 3.393
-3.226 -3.618 -0.998
1.608 -4.630 -0.684
Se Cd Ge
1 1 2
direct
0.000 0.000 0.000
0.500 0.500 0.500
0.750 0.750 0.750
0.250 0.250 0.250

---

B) CdGe2Se, optimized geometry, DFT PBE; SG = No. 122
1.0
-4.642 -1.710 3.619
3.153 -4.975 1.695
1.681 -0.247 7.232
Ge Se Cd
4 2 2
direct
0.620 0.125 0.250
0.875 0.870 0.750
0.130 0.625 0.250
0.375 0.380 0.750
0.500 0.500 0.000
0.250 0.750 0.500
0.000 0.000 0.000
0.750 0.250 0.500

---

Most stable to least stable: B), A)

---

A) Cd2GeSe, optimized geometry, DFT PBE; SG = No. 122
1.0
-3.584 -5.167 -1.984
-0.907 -1.783 6.283
-6.721 -0.452 2.362
Cd Ge Se
4 2 2
direct
0.626 0.125 0.250
0.875 0.876 0.750
0.124 0.625 0.250
0.375 0.374 0.750
0.500 0.500 0.000
0.250 0.750 0.500
0.000 0.000 0.000
0.750 0.250 0.500

---

B) Cd2GeSe, optimized geometry, DFT PBE; SG = No. 225
1.0
0.000 3.543 3.543
3.543 0.000 3.543
3.543 3.543 0.000
Se Ge Cd
1 1 2
direct
0.500 0.500 0.500
0.000 0.000 0.000
0.250 0.250 0.250
0.750 0.750 0.750

---

Most stable to least stable: A), B)